Record 1
The following is a PBE calculation of Er2Ge4Ir3 after structural relaxation, from Alexandria.

Cell: 7.822 6.754 5.563 Å, 78.19 57.69 44.12°
Fractional positions:
Er 0.130 0.130 0.870
Er 0.870 0.870 0.130
Ge 0.173 0.505 0.495
Ge 0.495 0.827 0.173
Ge 0.505 0.173 0.827
Ge 0.827 0.495 0.505
Ir 0.000 0.000 0.500
Ir 0.500 0.500 0.000
Ir 0.500 0.500 0.500

Crystal system: orthorhombic
Formation energy from the elements in eV/atom: -0.638

---

Record 2
The following is a PBE calculation of Cs2AgI4 after structural relaxation, from Alexandria.

Cell: 9.119 7.113 11.307 Å, 90.00 107.01 90.00°
Fractional positions:
Cs 0.207 0.250 0.430
Cs 0.254 0.250 0.942
Cs 0.746 0.750 0.058
Cs 0.793 0.750 0.570
Ag 0.246 0.750 0.188
Ag 0.754 0.250 0.812
I 0.074 0.750 0.360
I 0.107 0.750 0.933
I 0.498 0.011 0.265
I 0.498 0.489 0.265
I 0.502 0.511 0.735
I 0.502 0.989 0.735
I 0.893 0.250 0.067
I 0.926 0.250 0.640

Crystal system: monoclinic
Uncorrected formation energy in eV/f.u.: -6.6
Polymorph energy (0 for the lowest one) in eV per atom: 0.012

---

Record 3
The following is a PBE calculation of Pu2HgPb2 after structural relaxation, from Alexandria.

Cell: 5.174 5.174 12.549 Å, 90.00 90.00 120.00°
Fractional positions:
Pu 0.333 0.667 0.106
Pu 0.333 0.667 0.394
Pu 0.667 0.333 0.606
Pu 0.667 0.333 0.894
Hg 0.000 0.000 0.250
Hg 0.000 0.000 0.750
Pb 0.000 0.000 0.000
Pb 0.000 0.000 0.500
Pb 0.333 0.667 0.750
Pb 0.667 0.333 0.250

Crystal system: hexagonal
Formation energy from the elements in eV/atom: 0.026
Polymorph energy (0 for the lowest one) in eV per atom: 0.000

---

Record 4
The following is a PBE calculation of TiCu6O8 after structural relaxation, from Alexandria.

Cell: 5.467 5.467 5.467 Å, 90.00 90.00 90.00°
Fractional positions:
Ti 0.000 0.000 0.000
Cu 0.000 0.252 0.500
Cu 0.000 0.748 0.500
Cu 0.252 0.500 0.000
Cu 0.500 0.000 0.252
Cu 0.500 0.000 0.748
Cu 0.748 0.500 0.000
O 0.228 0.228 0.228
O 0.228 0.228 0.772
O 0.228 0.772 0.228
O 0.228 0.772 0.772
O 0.772 0.228 0.228
O 0.772 0.228 0.772
O 0.772 0.772 0.228
O 0.772 0.772 0.772

Crystal system: cubic
Uncorrected formation energy in eV/f.u.: -14.3

---

Record 5
The following is a PBE calculation of V2CrH after structural relaxation, from Alexandria.

Cell: 5.030 5.030 4.245 Å, 90.00 90.00 130.49°
Fractional positions:
V 0.140 0.332 0.000
V 0.332 0.140 0.500
V 0.668 0.860 0.500
V 0.860 0.668 0.000
Cr 0.000 0.500 0.500
Cr 0.500 0.000 0.000
H 0.500 0.500 0.250
H 0.500 0.500 0.750

Crystal system: orthorhombic
Polymorph energy (0 for the lowest one) in eV per atom: 0.000

---

Record 6
The following is a PBE calculation of ZrTiCl2 after structural relaxation, from Alexandria.

Cell: 8.945 8.945 8.945 Å, 20.21 20.21 20.21°
Fractional positions:
Zr 0.000 0.000 0.000
Ti 0.500 0.500 0.500
Cl 0.101 0.101 0.101
Cl 0.899 0.899 0.899

Crystal system: trigonal
Uncorrected formation energy in eV/f.u.: -3.0
Polymorph energy (0 for the lowest one) in eV per atom: 0.000

---

Number 1: magnetization 0.000 μB per atom, final energy -6.658 eV/atom. Number 2: magnetization 0.000 μB per atom, final energy -2.481 eV/atom. Number 3: magnetization 2.347 μB per atom, final energy -7.251 eV/atom. Number 4: magnetization 0.000 μB per atom, final energy -5.765 eV/atom. Number 5: magnetization 0.000 μB per atom, final energy -7.923 eV/atom. Number 6: magnetization 0.000 μB per atom, final energy -5.788 eV/atom.